No. 1
VASP calculation (PBE) on TlCd2Rh after structural relaxation.

Its density of states at the Fermi level is 2.6 states/eV/cell. Its energy above the lowest structure with this stoichiometry is 94 meV per atom. The calculation puts the formation energy at 0.0594 eV/atom. The uncorrected energy comes out at -22.621 eV for the cell shown.

The structure belongs to space group I-4m2 (No. 119); the cell edges are 4.227, 4.227 and 8.820 Å and the angles 90.00°, 90.00° and 90.00°. The asymmetric unit holds Tl at (0.000, 0.000, 0.000), Cd at (0.000, 0.000, 0.500), Cd at (0.000, 0.500, 0.750) and Rh at (0.000, 0.500, 0.250).

No. 2
VASP calculation (PBE) on TlCdRh after structural relaxation.

Its density of states at the Fermi level is 2.8 states/eV/cell. Its energy above the lowest structure with this stoichiometry is 170 meV per atom. The calculation puts the formation energy at 0.0786 eV/atom. The uncorrected energy comes out at -20.794 eV for the cell shown.

The structure belongs to space group I4mm (No. 107); the cell edges are 3.174, 3.174 and 12.242 Å and the angles 90.00°, 90.00° and 90.00°. The asymmetric unit holds Tl at (0.000, 0.000, 0.000), Cd at (0.000, 0.000, 0.287) and Rh at (0.000, 0.000, 0.648).

No. 3
VASP calculation (PBE) on Tl2CdRh after structural relaxation.

Its density of states at the Fermi level is 6.0 states/eV/cell. Its energy above the lowest structure with this stoichiometry is 252 meV per atom. The calculation puts the formation energy at 0.2671 eV/atom. The uncorrected energy comes out at -47.722 eV for the cell shown.

The structure belongs to space group F-43m (No. 216); the cell edges are 7.076, 7.076 and 7.076 Å and the angles 90.00°, 90.00° and 90.00°. The asymmetric unit holds Tl at (0.000, 0.000, 0.000), Tl at (0.250, 0.250, 0.250), Cd at (0.000, 0.000, 0.500) and Rh at (0.250, 0.250, 0.750).

No. 4
VASP calculation (PBE) on Tl2CdRh after structural relaxation.

Its density of states at the Fermi level is 1.5 states/eV/cell. Its energy above the lowest structure with this stoichiometry is 129 meV per atom. The calculation puts the formation energy at 0.1443 eV/atom. The uncorrected energy comes out at -12.422 eV for the cell shown.

The structure belongs to space group P4/mmm (No. 123); the cell edges are 3.202, 3.202 and 9.004 Å and the angles 90.00°, 90.00° and 90.00°. The asymmetric unit holds Tl at (0.000, 0.000, 0.203), Cd at (0.500, 0.500, 0.500) and Rh at (0.500, 0.500, 0.000).

No. 5
VASP calculation (PBE) on Tl2CdRh after structural relaxation.

Its density of states at the Fermi level is 4.2 states/eV/cell. Its energy above the lowest structure with this stoichiometry is 0 meV per atom. The calculation puts the formation energy at 0.0149 eV/atom. The uncorrected energy comes out at -25.879 eV for the cell shown.

The structure belongs to space group Immm (No. 71); the cell edges are 3.135, 4.617 and 13.689 Å and the angles 90.00°, 90.00° and 90.00°. The asymmetric unit holds Tl at (0.000, 0.000, 0.175), Cd at (0.000, 0.500, 0.000) and Rh at (0.000, 0.500, 0.500).

No. 6
VASP calculation (PBE) on Tl2CdRh after structural relaxation.

Its density of states at the Fermi level is 2.7 states/eV/cell. Its energy above the lowest structure with this stoichiometry is 237 meV per atom. The calculation puts the formation energy at 0.2521 eV/atom. The uncorrected energy comes out at -11.991 eV for the cell shown.

The structure belongs to space group P4/mmm (No. 123); the cell edges are 5.094, 5.094 and 3.351 Å and the angles 90.00°, 90.00° and 90.00°. The asymmetric unit holds Tl at (0.000, 0.500, 0.000), Cd at (0.000, 0.000, 0.500) and Rh at (0.500, 0.500, 0.500).

No. 7
VASP calculation (PBE) on TlCd2Rh after structural relaxation.

Its density of states at the Fermi level is 1.2 states/eV/cell. Its energy above the lowest structure with this stoichiometry is 106 meV per atom. The calculation puts the formation energy at 0.0715 eV/atom. The uncorrected energy comes out at -11.262 eV for the cell shown.

The structure belongs to space group Pmm2 (No. 25); the cell edges are 3.371, 3.905 and 6.135 Å and the angles 90.00°, 90.00° and 90.00°. The asymmetric unit holds Tl at (0.000, 0.000, 0.000), Cd at (0.000, 0.000, 0.536), Cd at (0.500, 0.500, 0.286) and Rh at (0.500, 0.500, 0.764).

No. 8
VASP calculation (PBE) on Tl2CdRh after structural relaxation.

Its density of states at the Fermi level is 1.2 states/eV/cell. Its energy above the lowest structure with this stoichiometry is 236 meV per atom. The calculation puts the formation energy at 0.2507 eV/atom. The uncorrected energy comes out at -11.996 eV for the cell shown.

The structure belongs to space group Pmmm (No. 47); the cell edges are 3.346, 4.805 and 5.474 Å and the angles 90.00°, 90.00° and 90.00°. The asymmetric unit holds Tl at (0.000, 0.000, 0.000), Tl at (0.500, 0.000, 0.500), Cd at (0.000, 0.500, 0.500) and Rh at (0.500, 0.500, 0.000).

No. 9
VASP calculation (PBE) on TlCdRh3 after structural relaxation.

Its density of states at the Fermi level is 8.2 states/eV/cell. Its energy above the lowest structure with this stoichiometry is 0 meV per atom. The calculation puts the formation energy at 1.3114 eV/atom. The uncorrected energy comes out at -18.779 eV for the cell shown.

The structure belongs to space group Pm-3m (No. 221); the cell edges are 4.909, 4.909 and 4.909 Å and the angles 90.00°, 90.00° and 90.00°. The asymmetric unit holds Tl at (0.000, 0.000, 0.000), Cd at (0.500, 0.500, 0.500) and Rh at (0.000, 0.500, 0.500).

No. 10
VASP calculation (PBE) on TlCd3Rh after structural relaxation.

Its density of states at the Fermi level is 1.7 states/eV/cell. Its energy above the lowest structure with this stoichiometry is 0 meV per atom. The calculation puts the formation energy at 0.0993 eV/atom. The uncorrected energy comes out at -11.966 eV for the cell shown.

The structure belongs to space group Pm-3m (No. 221); the cell edges are 5.211, 5.211 and 5.211 Å and the angles 90.00°, 90.00° and 90.00°. The asymmetric unit holds Tl at (0.000, 0.000, 0.000), Cd at (0.000, 0.500, 0.500) and Rh at (0.500, 0.500, 0.500).

No. 11
VASP calculation (PBE) on TlCd2Rh after structural relaxation.

Its density of states at the Fermi level is 2.0 states/eV/cell. Its energy above the lowest structure with this stoichiometry is 15 meV per atom. The calculation puts the formation energy at -0.0193 eV/atom. The uncorrected energy comes out at -11.625 eV for the cell shown.

The structure belongs to space group P4/mmm (No. 123); the cell edges are 3.249, 3.249 and 8.212 Å and the angles 90.00°, 90.00° and 90.00°. The asymmetric unit holds Tl at (0.000, 0.000, 0.000), Cd at (0.500, 0.500, 0.305) and Rh at (0.000, 0.000, 0.500).

No. 12
VASP calculation (PBE) on TlCd2Rh after structural relaxation.

Its density of states at the Fermi level is 4.0 states/eV/cell. Its energy above the lowest structure with this stoichiometry is 140 meV per atom. The calculation puts the formation energy at 0.1053 eV/atom. The uncorrected energy comes out at -22.253 eV for the cell shown.

The structure belongs to space group Cmmm (No. 65); the cell edges are 5.823, 8.177 and 3.406 Å and the angles 90.00°, 90.00° and 90.00°. The asymmetric unit holds Tl at (0.000, 0.000, 0.000), Cd at (0.250, 0.250, 0.500) and Rh at (0.000, 0.500, 0.000).